## KH5Pd2 (PBE)

Data for a geometry-optimized KH5Pd2 structure.

```
8
Lattice="3.0621 0.0000 0.0000 1.5310 5.6070 1.0142 1.5310 2.6542 5.0421" Properties=species:S:1:pos:R:3 pbc="T T T"
H 3.0621 2.0201 2.8007
Pd 4.5931 5.7275 4.1989
H 3.0621 3.2787 1.0839
K 0.0000 0.0000 0.0000
H 3.0621 4.9825 4.9724
H 1.5310 4.1306 3.0282
Pd 1.5310 2.5337 1.8575
H 3.0621 6.2411 3.2557
```

* space group: Immm (71)
* total magnetization: 0.0 μB per cell
* density of states at the Fermi level: 0.09 states/eV/atom
* density: 5.45 Mg/m³
* final energy: -28.61 eV per cell

---

## K2H4Pd (PBE)

Data for a geometry-optimized K2H4Pd structure.

```
7
Lattice="-0.2809 3.1228 -2.3836 -0.3770 -2.4001 -3.1000 -6.6607 0.3729 -1.9807" Properties=species:S:1:pos:R:3 pbc="T T T"
K -2.1246 0.3646 -2.5259
H -4.9585 0.3698 -2.1853
H -0.1885 -1.2000 -1.5500
H -2.3600 0.7259 -5.2790
H -0.1404 1.5614 -1.1918
K -5.1939 0.7310 -4.9383
Pd 0.0000 0.0000 0.0000
```

* distance to the lowest polymorph of the same formula: 8.4 kJ per mole of atoms
* space group: I4/mmm (139)
* total magnetization: 0.0 μB per cell
* density of states at the Fermi level: 0.06 states/eV/atom
* density: 3.17 Mg/m³

---

## KHPd3 (PBE)

Data for a geometry-optimized KHPd3 structure.

```
5
Lattice="-2.3753 3.0690 1.7042 -2.6178 -2.9195 1.6088 2.3387 -0.1510 3.5316" Properties=species:S:1:pos:R:3 pbc="T T T"
H 0.0000 0.0000 0.0000
Pd -1.1876 1.5345 0.8521
Pd -1.3089 -1.4597 0.8044
Pd 1.1694 -0.0755 1.7658
K -1.3272 -0.0008 3.4223
```

* distance to the lowest polymorph of the same formula: 0.0 kJ per mole of atoms
* space group: Pm-3m (221)
* total magnetization: 0.0 μB per cell
* density of states at the Fermi level: 0.65 states/eV/atom
* density: 7.84 Mg/m³

---

## K3H3Pd (PBE)

Data for a geometry-optimized K3H3Pd structure.

```
7
Lattice="5.1409 0.0000 0.0000 -1.7136 5.7933 0.0000 -1.7136 -2.8966 5.0171" Properties=species:S:1:pos:R:3 pbc="T T T"
H 1.8089 1.7571 0.0000
K 0.9803 1.7487 3.0288
K 4.4075 -1.1479 1.9883
H 1.8089 -0.8785 1.5217
H -1.6184 2.0181 3.4955
Pd 1.7858 0.0000 0.0000
K 4.4075 2.2959 0.0000
```

* distance to the lowest polymorph of the same formula: 9.2 kJ per mole of atoms
* space group: R3m (160)
* total magnetization: 0.0 μB per cell
* density: 2.52 Mg/m³

---

## KH4Pd (PBE)

Data for a geometry-optimized KH4Pd structure.

```
6
Lattice="3.5243 0.0000 0.0000 0.0000 3.5243 0.0000 0.0000 0.0000 5.3474" Properties=species:S:1:pos:R:3 pbc="T T T"
H 1.7622 1.7622 4.3246
Pd 1.7622 1.7622 2.6737
H 0.0000 1.7622 2.6737
H 1.7622 0.0000 2.6737
H 1.7622 1.7622 1.0228
K 0.0000 0.0000 0.0000
```

* distance to the lowest polymorph of the same formula: 0.0 kJ per mole of atoms
* space group: P4/mmm (123)
* total magnetization: 0.0 μB per cell
* density of states at the Fermi level: 0.19 states/eV/atom
* density: 3.74 Mg/m³

---

## KH2Pd (PBE)

Data for a geometry-optimized KH2Pd structure.

```
4
Lattice="3.1838 0.0000 0.0000 1.5919 2.7573 0.0000 1.5919 0.9191 5.7282" Properties=species:S:1:pos:R:3 pbc="T T T"
Pd 0.0000 0.0000 0.0000
H 1.5919 0.9191 0.8008
K 3.1838 1.8382 2.8641
H 4.7758 2.7573 4.9273
```

* distance to the lowest polymorph of the same formula: 32.1 kJ per mole of atoms
* space group: R-3m (166)
* total magnetization: 0.0 μB per cell
* density of states at the Fermi level: 0.29 states/eV/atom
* density: 4.87 Mg/m³

---

## KH2Pd (PBE)

Data for a geometry-optimized KH2Pd structure.

```
8
Lattice="5.4820 -0.2203 0.0000 -2.2135 5.0200 0.0000 0.0000 0.0000 5.4462" Properties=species:S:1:pos:R:3 pbc="T T T"
H 0.3993 1.0709 1.3616
K 2.9807 1.4830 1.3616
Pd 0.0000 0.0000 2.7231
Pd 0.0000 0.0000 0.0000
H 2.8692 3.7289 4.0847
K 0.2878 3.3167 4.0847
H 0.8501 0.7639 4.0847
H 2.4184 4.0358 1.3616
```

* distance to the lowest polymorph of the same formula: 0.0 kJ per mole of atoms
* space group: Cmcm (63)
* total magnetization: 0.0 μB per cell
* density of states at the Fermi level: 0.16 states/eV/atom
* density: 3.33 Mg/m³

---

## K2H3Pd2 (PBE)

Data for a geometry-optimized K2H3Pd2 structure.

```
7
Lattice="3.8047 0.0000 1.1625 1.2280 5.1909 2.7882 0.2065 0.8136 6.1315" Properties=species:S:1:pos:R:3 pbc="T T T"
K 2.5934 4.5879 5.1269
Pd 1.4218 3.4797 2.1540
Pd 3.8174 2.5248 7.9282
H 0.0000 0.0000 0.0000
K 2.6458 1.4167 4.9553
H 3.3523 3.2831 2.6430
H 1.8869 2.7214 7.4392
```

* distance to the lowest polymorph of the same formula: 0.0 kJ per mole of atoms
* space group: C2/m (12)
* total magnetization: 0.0 μB per cell
* density of states at the Fermi level: 0.39 states/eV/atom
* density: 4.35 Mg/m³

---

## KH8Pd4 (PBE)

Data for a geometry-optimized KH8Pd4 structure.

```
13
Lattice="-5.6635 -0.2726 1.2515 -2.2842 -4.9254 2.0587 -1.4835 0.0984 6.7775" Properties=species:S:1:pos:R:3 pbc="T T T"
H -2.4965 -1.4928 1.8466
H -5.3337 -1.6249 2.4484
H -5.7985 -1.1324 7.2330
H -4.0974 -3.4747 7.6394
Pd -3.9738 -2.5990 1.6551
Pd 0.0000 0.0000 0.0000
H -3.6325 -3.9672 2.8547
H -6.9346 -3.6067 8.2412
H -6.4836 -4.1044 3.4848
Pd -1.1421 -2.4627 1.0294
H -2.9475 -0.9952 6.6030
K -4.7155 -2.5498 5.0439
Pd -2.8317 -0.1363 0.6257
```

* distance to the lowest polymorph of the same formula: 0.0 kJ per mole of atoms
* space group: R-3m (166)
* total magnetization: 0.0 μB per cell
* density of states at the Fermi level: 0.12 states/eV/atom
* density: 4.43 Mg/m³

---

## K2H4Pd (PBE)

Data for a geometry-optimized K2H4Pd structure.

```
7
Lattice="-3.5607 -3.0199 -3.1016 4.5086 -2.9769 -1.4929 -1.0945 0.4636 5.4777" Properties=species:S:1:pos:R:3 pbc="T T T"
K 1.9440 -2.7559 0.8438
H 2.8781 -2.9856 -1.8179
H -0.2508 -1.0244 1.2853
Pd 0.0000 0.0000 0.0000
H 0.1042 -4.5088 -0.4021
K -2.0906 -2.7773 0.0394
H -1.9302 -3.0112 -2.7765
```

* distance to the lowest polymorph of the same formula: 0.0 kJ per mole of atoms
* space group: I4/mmm (139)
* total magnetization: 0.0 μB per cell
* density of states at the Fermi level: 0.00 states/eV/atom
* density: 2.43 Mg/m³

---

## KH2Pd (PBE)

Data for a geometry-optimized KH2Pd structure.

```
8
Lattice="4.8947 0.0000 0.0000 0.0000 4.8947 0.0000 2.4473 2.4473 5.1021" Properties=species:S:1:pos:R:3 pbc="T T T"
H 3.6710 2.4486 3.8266
Pd 0.0000 0.0000 0.0000
K 2.4473 4.8947 2.5511
H 6.1184 2.4460 3.8266
H 4.8960 3.6710 1.2755
Pd 4.8947 2.4473 2.5511
K 2.4473 2.4473 0.0000
H 4.8934 1.2237 1.2755
```

* distance to the lowest polymorph of the same formula: 14.0 kJ per mole of atoms
* space group: I4_1/amd (141)
* total magnetization: 0.0 μB per cell
* density of states at the Fermi level: 0.24 states/eV/atom
* density: 4.01 Mg/m³

---

## K3H9Pd2 (PBE)

Data for a geometry-optimized K3H9Pd2 structure.

```
14
Lattice="-4.7540 2.1198 1.7635 0.7354 -5.4463 -0.0346 2.5204 0.2994 6.4345" Properties=species:S:1:pos:R:3 pbc="T T T"
H 0.3677 -2.7231 -0.0173
H 1.1746 -1.4693 4.9326
K -1.2969 -0.2089 5.3185
H -2.6728 -1.5578 3.2308
Pd -2.5646 -0.3595 2.0822
Pd 1.0664 -2.6676 6.0812
H -2.9848 0.7527 3.2455
K 0.0000 0.0000 0.0000
H -0.9680 -0.1466 2.4973
H -2.3770 1.0599 0.8818
H 1.4866 -3.7798 4.9179
H -2.0093 -1.6632 0.8644
H -0.5302 -2.8805 5.6661
K -0.2013 -2.8182 2.8449
```

* space group: P-3m1 (164)
* total magnetization: 0.0 μB per cell
* density of states at the Fermi level: 0.34 states/eV/atom
* density: 3.11 Mg/m³
* final energy: -45.72 eV per cell

---

## KH4Pd (PBE)

Data for a geometry-optimized KH4Pd structure.

```
12
Lattice="-1.6130 4.0617 -2.0680 -5.1881 -2.7059 -1.2679 0.8518 2.0198 6.3402" Properties=species:S:1:pos:R:3 pbc="T T T"
H -2.9359 1.9318 3.4911
H -1.5708 -0.8193 -0.3839
H -3.6526 -0.1493 1.1288
H -3.0135 1.4437 -0.4869
H -1.3213 2.7739 3.8857
H -2.2968 3.5248 1.8755
K -0.9397 1.0057 1.6988
K -5.0097 2.3698 1.3055
H -3.6173 -1.8867 -0.8840
H -4.6281 0.6016 -0.8815
Pd -3.2608 -0.1234 -0.5300
Pd -2.6886 3.4989 3.5342
```

* distance to the lowest polymorph of the same formula: 8.7 kJ per mole of atoms
* space group: C2/m (12)
* total magnetization: 0.0 μB per cell
* density of states at the Fermi level: 0.11 states/eV/atom
* density: 2.93 Mg/m³

---

## KPmH6Pd2 (PBE)

Data for a geometry-optimized KPmH6Pd2 structure.

```
20
Lattice="6.2923 0.5499 0.7866 -0.2246 6.3123 0.7866 -1.0250 -1.1592 6.4248" Properties=species:S:1:pos:R:3 pbc="T T T"
H 3.3900 2.5136 4.7163
Pd 1.3690 0.2060 6.1390
H 2.4505 1.4510 6.4941
H 2.5921 4.2519 1.5039
H -0.5068 4.1651 4.6627
H 4.7083 0.5866 1.4503
Pd 0.5494 1.9635 2.9266
Pd 3.6736 5.4969 1.8590
Pm 3.6030 2.4114 2.3928
H 5.5494 1.5378 3.3353
Pm 1.4397 3.2915 5.6052
Pd 4.4933 3.7394 5.0714
H 1.4338 1.7132 1.3326
K 4.6902 0.4173 5.6052
H 1.6526 3.1893 3.2817
H 1.0123 1.0532 4.5450
H 3.6088 3.9897 6.6654
H 0.3343 5.1163 6.5477
K 0.3524 5.2857 2.3928
H 4.0304 4.6498 3.4530
```

* space group: C2/c (15)
* total magnetization: 0.0 μB per cell
* density of states at the Fermi level: 0.13 states/eV/atom
* density: 5.02 Mg/m³
* final energy: -78.48 eV per cell

---

## K2PmH12Pd3 (PBE)

Data for a geometry-optimized K2PmH12Pd3 structure.

```
18
Lattice="6.3342 -0.3688 -0.2616 2.8075 5.6899 -0.2616 2.8075 1.6342 5.4565" Properties=species:S:1:pos:R:3 pbc="T T T"
H 6.8911 1.3703 3.7702
H 7.5113 6.2562 4.4375
Pd 1.4037 0.8171 2.7282
Pd 3.1671 -0.1844 -0.1308
H 4.4378 0.6991 0.4959
Pm 0.0000 0.0000 0.0000
Pd 1.4037 2.8450 -0.1308
H 4.5948 5.3154 3.7702
H 2.7996 3.5136 0.4959
K 7.2995 4.2489 3.0137
H 9.1495 5.3258 1.7812
H 5.0580 5.5851 1.1632
K 4.6496 2.7065 1.9197
H 6.8911 4.0112 0.0469
H 9.1495 3.4417 4.4375
H 2.7996 1.6296 3.1522
H 5.0580 2.9442 4.8865
H 7.3543 1.6399 1.1632
```

* space group: R-3m (166)
* total magnetization: 0.0 μB per cell
* density of states at the Fermi level: 0.17 states/eV/atom
* density: 4.42 Mg/m³
* final energy: -67.52 eV per cell

---

## KH8PdPt2 (PBE)

Data for a geometry-optimized KH8PdPt2 structure.

```
12
Lattice="-0.8302 -4.1283 -2.5155 -0.1371 -4.3104 2.3370 -6.4727 -2.1270 0.8447" Properties=species:S:1:pos:R:3 pbc="T T T"
H -2.6031 -2.5586 0.2758
H -1.2958 -5.5533 1.5552
K -3.7200 -5.2829 0.3331
H -1.7823 -6.8600 -0.7631
H -5.6578 -3.7058 1.4293
Pt -6.4293 -7.8296 0.6245
Pd 0.0000 0.0000 0.0000
H -1.4825 -4.1713 -0.7630
H -4.8369 -8.0072 0.3904
H -5.9576 -6.3944 1.4292
Pt -1.0108 -2.7361 0.0417
H -6.1443 -5.0124 -0.8890
```

* space group: R-3 (148)
* total magnetization: 0.0 μB per cell
* density of states at the Fermi level: 0.26 states/eV/atom
* density: 6.93 Mg/m³
* final energy: -45.96 eV per cell

---

## K2H6PdPt (PBE)

Data for a geometry-optimized K2H6PdPt structure.

```
10
Lattice="-3.0524 -0.2042 -4.4417 3.7115 -3.4789 -2.3907 -4.2586 -2.0795 3.0222" Properties=species:S:1:pos:R:3 pbc="T T T"
Pt 0.0000 0.0000 0.0000
K -2.3572 -2.5965 0.1189
Pd -1.5262 -0.1021 -2.2208
H 2.0285 -3.3322 -2.5573
H -3.4105 -4.5089 -2.6813
H -0.1890 -1.2537 -1.1289
H -3.0837 -1.1880 -3.0586
K -1.2424 -3.1661 -3.9291
H -0.5158 -4.5746 -0.7517
H -5.6280 -2.4304 -1.2529
```

* space group: P-3m1 (164)
* total magnetization: 0.0 μB per cell
* density: 4.34 Mg/m³
* final energy: -36.47 eV per cell

---

## KH6PdPt (PBE)

Data for a geometry-optimized KH6PdPt structure.

```
9
Lattice="-0.8383 3.6840 -3.2227 -3.6415 3.2667 0.8548 3.3496 3.0495 2.6145" Properties=species:S:1:pos:R:3 pbc="T T T"
Pt 0.1815 3.8416 0.5180
Pd -1.3117 6.1584 -0.2713
H -0.1217 4.0946 2.1923
H 0.5874 3.4290 -1.1022
H 1.8283 3.3466 0.5673
H -0.1412 2.2822 1.1687
H 0.3566 5.4664 -0.0198
H -1.4203 4.4304 0.3015
K 2.5114 6.7334 -0.6082
```

* space group: P312 (149)
* total magnetization: 0.0 μB per cell
* density of states at the Fermi level: 0.34 states/eV/atom
* density: 5.15 Mg/m³
* final energy: -33.85 eV per cell

---

## KRb3H8Pd2 (PBE)

Data for a geometry-optimized KRb3H8Pd2 structure.

```
14
Lattice="6.0554 0.0000 0.0000 -3.0277 5.2441 0.0000 0.0000 0.0000 8.6291" Properties=species:S:1:pos:R:3 pbc="T T T"
H 4.1592 1.0948 5.6689
H 0.0000 2.1896 2.9602
H 1.8962 1.0948 5.6689
H 0.0000 3.4961 0.1894
Rb 0.0000 0.0000 0.0000
Rb 0.0000 3.4961 6.0884
K 0.0000 0.0000 4.3146
H 1.1315 4.1493 2.9602
Pd 3.0277 1.7480 6.6942
H 3.0277 3.0546 5.6689
Rb 3.0277 1.7480 2.5407
Pd 0.0000 3.4961 1.9350
H -1.1315 4.1493 2.9602
H 3.0277 1.7480 8.4398
```

* space group: P-3m1 (164)
* total magnetization: 3.1 μB per cell
* density of states at the Fermi level: 0.60 states/eV/atom
* density: 3.13 Mg/m³
* final energy: -40.42 eV per cell

---

## KRb2H6Pd (PBE)

Data for a geometry-optimized KRb2H6Pd structure.

```
10
Lattice="6.8055 0.0000 0.0000 0.0000 6.0452 0.0000 0.0000 -3.0226 5.2353" Properties=species:S:1:pos:R:3 pbc="T T T"
H 5.8284 1.8476 4.5569
H 0.9771 1.1750 0.6784
H 0.9771 3.0226 3.8785
K 3.4028 0.0000 0.0000
H 5.8284 0.0000 1.3568
H 5.8284 -1.8476 4.5569
Rb 5.7640 3.0226 1.7451
Pd 0.0000 0.0000 0.0000
H 0.9771 4.8702 0.6784
Rb 1.0415 0.0000 3.4902
```

* space group: P-3m1 (164)
* total magnetization: 0.9 μB per cell
* density of states at the Fermi level: 0.25 states/eV/atom
* density: 2.49 Mg/m³
* final energy: -30.05 eV per cell